[1]
Computed, not measured: AlCdSb2H at its PBEsol-relaxed geometry at the SCAN level of DFT.

Cell and atoms, written as CIF:
```
data_AlCdSb2H
_cell_length_a 5.204
_cell_length_b 5.204
_cell_length_c 5.197
_cell_angle_alpha 90.00
_cell_angle_beta 90.00
_cell_angle_gamma 90.00
_space_group_name_H-M_alt 'P 1'
_space_group_IT_number 1
_space_group_name_Hall 'P 1'
loop_
_atom_site_label
_atom_site_type_symbol
_atom_site_fract_x
_atom_site_fract_y
_atom_site_fract_z
Sb1 Sb 0.000 0.500 0.000
Sb2 Sb 0.500 0.000 0.000
Al1 Al 0.000 0.000 0.000
H1 H 0.500 0.500 0.500
Cd1 Cd 0.000 0.000 0.500
```

## Properties
Total magnetic moment, μB/cell: 0.90
Total energy, eV per atom: -22.313

=====

[2]
Computed, not measured: Hf2MnAlCd at its PBEsol-relaxed geometry at the SCAN level of DFT.

Cell and atoms, written as CIF:
```
data_Hf2MnAlCd
_cell_length_a 4.738
_cell_length_b 5.084
_cell_length_c 5.084
_cell_angle_alpha 90.00
_cell_angle_beta 90.00
_cell_angle_gamma 90.00
_space_group_name_H-M_alt 'P 1'
_space_group_IT_number 1
_space_group_name_Hall 'P 1'
loop_
_atom_site_label
_atom_site_type_symbol
_atom_site_fract_x
_atom_site_fract_y
_atom_site_fract_z
Mn1 Mn 0.500 0.000 0.000
Hf1 Hf 0.000 0.000 0.500
Hf2 Hf 0.000 0.500 0.000
Al1 Al 0.500 0.500 0.500
Cd1 Cd 0.000 0.000 0.000
```

## Properties
Total magnetic moment, μB/cell: 3.94
Formation energy from the elements, meV/atom: 1075
Total energy, eV per atom: -35.278

=====

[3]
Computed, not measured: AlCdHg2 at its PBEsol-relaxed geometry at the SCAN level of DFT.

Cell and atoms, written as CIF:
```
data_AlCdHg2
_cell_length_a 3.126
_cell_length_b 3.126
_cell_length_c 8.443
_cell_angle_alpha 90.00
_cell_angle_beta 90.00
_cell_angle_gamma 90.00
_space_group_name_H-M_alt 'P 1'
_space_group_IT_number 1
_space_group_name_Hall 'P 1'
loop_
_atom_site_label
_atom_site_type_symbol
_atom_site_fract_x
_atom_site_fract_y
_atom_site_fract_z
Al1 Al 0.000 0.000 0.500
Hg1 Hg 0.000 0.000 0.995
Hg2 Hg 0.500 0.500 0.269
Cd1 Cd 0.500 0.500 0.736
```

## Properties
Total magnetic moment, μB/cell: 0.00
Formation energy from the elements, meV/atom: 101
Total energy, eV per atom: -43.523

=====

[4]
Computed, not measured: AlCdHg2 at its PBEsol-relaxed geometry at the SCAN level of DFT.

Cell and atoms, written as CIF:
```
data_AlCdHg2
_cell_length_a 3.304
_cell_length_b 4.665
_cell_length_c 5.947
_cell_angle_alpha 101.80
_cell_angle_beta 90.00
_cell_angle_gamma 110.74
_space_group_name_H-M_alt 'P 1'
_space_group_IT_number 1
_space_group_name_Hall 'P 1'
loop_
_atom_site_label
_atom_site_type_symbol
_atom_site_fract_x
_atom_site_fract_y
_atom_site_fract_z
Cd1 Cd 0.000 0.000 0.500
Al1 Al 0.500 0.000 0.000
Hg1 Hg 0.755 0.510 0.766
Hg2 Hg 0.245 0.490 0.234
```

## Properties
Total magnetic moment, μB/cell: 0.00
Formation energy from the elements, meV/atom: 14
Total energy, eV per atom: -43.611

=====

[5]
Computed, not measured: AlCdHg at its PBEsol-relaxed geometry at the SCAN level of DFT.

Cell and atoms, written as CIF:
```
data_AlCdHg
_cell_length_a 4.531
_cell_length_b 4.531
_cell_length_c 4.531
_cell_angle_alpha 60.00
_cell_angle_beta 60.00
_cell_angle_gamma 60.00
_space_group_name_H-M_alt 'P 1'
_space_group_IT_number 1
_space_group_name_Hall 'P 1'
loop_
_atom_site_label
_atom_site_type_symbol
_atom_site_fract_x
_atom_site_fract_y
_atom_site_fract_z
Al1 Al 0.250 0.250 0.250
Hg1 Hg 0.500 0.500 0.500
Cd1 Cd 0.000 0.000 0.000
```

## Properties
Total magnetic moment, μB/cell: 0.00
Formation energy from the elements, meV/atom: 32
Total energy, eV per atom: -35.412

=====

[6]
Computed, not measured: AlCd2Hg at its PBEsol-relaxed geometry at the SCAN level of DFT.

Cell and atoms, written as CIF:
```
data_AlCd2Hg
_cell_length_a 4.348
_cell_length_b 4.312
_cell_length_c 4.312
_cell_angle_alpha 90.00
_cell_angle_beta 90.00
_cell_angle_gamma 90.00
_space_group_name_H-M_alt 'P 1'
_space_group_IT_number 1
_space_group_name_Hall 'P 1'
loop_
_atom_site_label
_atom_site_type_symbol
_atom_site_fract_x
_atom_site_fract_y
_atom_site_fract_z
Al1 Al 0.500 0.000 0.000
Hg1 Hg 0.500 0.500 0.500
Cd1 Cd 0.000 0.000 0.500
Cd2 Cd 0.000 0.500 0.000
```

## Properties
Total magnetic moment, μB/cell: 0.00
Formation energy from the elements, meV/atom: 94
Total energy, eV per atom: -34.092

=====

[7]
Computed, not measured: AlCd2Hg at its PBEsol-relaxed geometry at the SCAN level of DFT.

Cell and atoms, written as CIF:
```
data_AlCd2Hg
_cell_length_a 2.827
_cell_length_b 5.418
_cell_length_c 6.254
_cell_angle_alpha 115.67
_cell_angle_beta 103.06
_cell_angle_gamma 90.00
_space_group_name_H-M_alt 'P 1'
_space_group_IT_number 1
_space_group_name_Hall 'P 1'
loop_
_atom_site_label
_atom_site_type_symbol
_atom_site_fract_x
_atom_site_fract_y
_atom_site_fract_z
Cd1 Cd 0.988 0.988 0.976
Cd2 Cd 0.749 0.249 0.498
Al1 Al 0.250 0.750 0.499
Hg1 Hg 0.514 0.514 0.027
```

## Properties
Total magnetic moment, μB/cell: 0.00
Formation energy from the elements, meV/atom: 96
Total energy, eV per atom: -34.091

=====

[8]
Computed, not measured: AlCdI3 at its PBEsol-relaxed geometry at the SCAN level of DFT.

Cell and atoms, written as CIF:
```
data_AlCdI3
_cell_length_a 5.751
_cell_length_b 5.751
_cell_length_c 5.751
_cell_angle_alpha 90.00
_cell_angle_beta 90.00
_cell_angle_gamma 90.00
_space_group_name_H-M_alt 'P 1'
_space_group_IT_number 1
_space_group_name_Hall 'P 1'
loop_
_atom_site_label
_atom_site_type_symbol
_atom_site_fract_x
_atom_site_fract_y
_atom_site_fract_z
I1 I 0.000 0.500 0.000
I2 I 0.000 0.000 0.500
I3 I 0.500 0.000 0.000
Al1 Al 0.500 0.500 0.500
Cd1 Cd 0.000 0.000 0.000
```

## Properties
Total magnetic moment, μB/cell: 0.00
Energy relative to the elements, uncorrected, eV/atom: -0.107
Total energy, eV per atom: -29.785

=====

[9]
Computed, not measured: AlCdIn2 at its PBEsol-relaxed geometry at the SCAN level of DFT.

Cell and atoms, written as CIF:
```
data_AlCdIn2
_cell_length_a 4.434
_cell_length_b 4.434
_cell_length_c 5.504
_cell_angle_alpha 113.75
_cell_angle_beta 113.75
_cell_angle_gamma 90.00
_space_group_name_H-M_alt 'P 1'
_space_group_IT_number 1
_space_group_name_Hall 'P 1'
loop_
_atom_site_label
_atom_site_type_symbol
_atom_site_fract_x
_atom_site_fract_y
_atom_site_fract_z
Cd1 Cd 0.250 0.750 0.500
Al1 Al 0.500 0.500 0.000
In1 In 0.000 0.000 0.000
In2 In 0.750 0.250 0.500
```

## Properties
Total magnetic moment, μB/cell: 0.00
Formation energy from the elements, meV/atom: 148
Total energy, eV per atom: -26.086

=====

[10]
Computed, not measured: AlCdIn2 at its PBEsol-relaxed geometry at the SCAN level of DFT.

Cell and atoms, written as CIF:
```
data_AlCdIn2
_cell_length_a 3.189
_cell_length_b 5.399
_cell_length_c 5.399
_cell_angle_alpha 108.64
_cell_angle_beta 90.03
_cell_angle_gamma 90.03
_space_group_name_H-M_alt 'P 1'
_space_group_IT_number 1
_space_group_name_Hall 'P 1'
loop_
_atom_site_label
_atom_site_type_symbol
_atom_site_fract_x
_atom_site_fract_y
_atom_site_fract_z
Cd1 Cd 0.500 0.500 0.500
Al1 Al 0.500 0.000 0.000
In1 In 0.000 0.500 0.000
In2 In 0.000 0.000 0.500
```

## Properties
Total magnetic moment, μB/cell: 0.00
Formation energy from the elements, meV/atom: 136
Total energy, eV per atom: -26.099

=====

[11]
Computed, not measured: Al3CdIn at its PBEsol-relaxed geometry at the SCAN level of DFT.

Cell and atoms, written as CIF:
```
data_Al3CdIn
_cell_length_a 5.031
_cell_length_b 5.031
_cell_length_c 5.031
_cell_angle_alpha 90.00
_cell_angle_beta 90.00
_cell_angle_gamma 90.00
_space_group_name_H-M_alt 'P 1'
_space_group_IT_number 1
_space_group_name_Hall 'P 1'
loop_
_atom_site_label
_atom_site_type_symbol
_atom_site_fract_x
_atom_site_fract_y
_atom_site_fract_z
Cd1 Cd 0.000 0.000 0.000
Al1 Al 0.000 0.500 0.000
Al2 Al 0.000 0.000 0.500
Al3 Al 0.500 0.000 0.000
In1 In 0.500 0.500 0.500
```

## Properties
Total magnetic moment, μB/cell: 0.00
Formation energy from the elements, meV/atom: 696
Total energy, eV per atom: -16.715

=====

[12]
Computed, not measured: AlCdIn2 at its PBEsol-relaxed geometry at the SCAN level of DFT.

Cell and atoms, written as CIF:
```
data_AlCdIn2
_cell_length_a 3.162
_cell_length_b 4.361
_cell_length_c 6.443
_cell_angle_alpha 90.00
_cell_angle_beta 90.00
_cell_angle_gamma 90.00
_space_group_name_H-M_alt 'P 1'
_space_group_IT_number 1
_space_group_name_Hall 'P 1'
loop_
_atom_site_label
_atom_site_type_symbol
_atom_site_fract_x
_atom_site_fract_y
_atom_site_fract_z
Cd1 Cd 0.500 0.500 0.736
Al1 Al 0.000 0.000 0.508
In1 In 0.000 0.000 0.991
In2 In 0.500 0.500 0.265
```

## Properties
Total magnetic moment, μB/cell: 0.00
Formation energy from the elements, meV/atom: 139
Total energy, eV per atom: -26.095